(1)
A plane-wave DFT calculation with PBE was carried out for a relaxed structure of HoCd2Rh.

a b c (Å): 4.9927 4.0749 4.0749
angles (deg): 90.00 90.00 90.00
Element x y z (fractional)
Rh1 0.5000 0.5000 0.5000
Ho1 0.5000 0.0000 0.0000
Cd1 0.0000 0.0000 0.5000
Cd2 0.0000 0.5000 0.0000

- space-group type = P4/mmm
- total magnetization (μB/f.u.) = 0.00
- ΔH_f (0 K) (kJ/mol of atoms) = -33.71
- total energy (eV per atom) = -3.789

=====

(2)
A plane-wave DFT calculation with PBE was carried out for a relaxed structure of Ho4CdRh.

a b c (Å): 9.5677 9.5677 9.5677
angles (deg): 60.00 60.00 60.00
Element x y z (fractional)
Ho1 0.9362 0.9362 0.5638
Ho2 0.5638 0.5638 0.9362
Ho3 0.6891 0.6891 0.3109
Ho4 0.1501 0.5496 0.1501
Ho5 0.6891 0.3109 0.6891
Ho6 0.1501 0.1501 0.1501
Ho7 0.5496 0.1501 0.1501
Ho8 0.6891 0.3109 0.3109
Ho9 0.1501 0.1501 0.5496
Ho10 0.3109 0.6891 0.3109
Ho11 0.3109 0.6891 0.6891
Ho12 0.9362 0.5638 0.5638
Ho13 0.9362 0.5638 0.9362
Ho14 0.5638 0.9362 0.5638
Ho15 0.5638 0.9362 0.9362
Ho16 0.3109 0.3109 0.6891
Cd1 0.9188 0.9188 0.2435
Cd2 0.2435 0.9188 0.9188
Cd3 0.9188 0.9188 0.9188
Cd4 0.9188 0.2435 0.9188
Rh1 0.3574 0.3574 0.9279
Rh2 0.3574 0.9279 0.3574
Rh3 0.9279 0.3574 0.3574
Rh4 0.3574 0.3574 0.3574

- space-group type = F-43m
- total magnetization (μB/f.u.) = 0.00
- ΔH_f (0 K) (kJ/mol of atoms) = -48.62
- total energy (eV per atom) = -4.934

=====

(3)
A plane-wave DFT calculation with PBE was carried out for a relaxed structure of HoCdRh.

a b c (Å): 3.3293 4.6862 4.6862
angles (deg): 120.00 90.00 90.00
Element x y z (fractional)
Rh1 0.1693 0.3333 0.6667
Ho1 0.6657 0.6667 0.3333
Cd1 0.1649 0.0000 0.0000

- space-group type = P3m1
- total magnetization (μB/f.u.) = 0.00
- ΔH_f (0 K) (kJ/mol of atoms) = -40.52
- total energy (eV per atom) = -4.701

=====

(4)
A plane-wave DFT calculation with PBE was carried out for a relaxed structure of Ho7CdRh2.

a b c (Å): 5.1926 8.0954 8.0954
angles (deg): 113.41 90.00 90.00
Element x y z (fractional)
Ho1 0.0000 0.7075 0.2925
Ho2 0.0000 0.2925 0.7075
Ho3 0.5000 0.0570 0.3139
Ho4 0.5000 0.9430 0.6861
Ho5 0.5000 0.3139 0.0570
Ho6 0.5000 0.6861 0.9430
Ho7 0.5000 0.5000 0.5000
Cd1 0.0000 0.0000 0.0000
Rh1 0.5000 0.7053 0.2947
Rh2 0.5000 0.2947 0.7053

- space-group type = Cmmm
- total magnetization (μB/f.u.) = 0.00
- ΔH_f (0 K) (kJ/mol of atoms) = -20.72
- total energy (eV per atom) = -4.981

=====

(5)
A plane-wave DFT calculation with PBE was carried out for a relaxed structure of HoCd2Rh3.

a b c (Å): 4.6401 4.6401 11.3602
angles (deg): 90.00 90.00 120.00
Element x y z (fractional)
Ho1 0.3333 0.6667 0.6689
Ho2 0.6667 0.3333 0.3311
Cd1 0.0000 0.0000 0.5000
Cd2 0.3333 0.6667 0.1631
Cd3 0.6667 0.3333 0.8369
Cd4 0.0000 0.0000 0.0000
Rh1 0.3333 0.6667 0.4167
Rh2 0.6667 0.3333 0.0827
Rh3 0.0000 0.0000 0.7527
Rh4 0.0000 0.0000 0.2473
Rh5 0.3333 0.6667 0.9173
Rh6 0.6667 0.3333 0.5833

- space-group type = P-3m1
- total magnetization (μB/f.u.) = 0.00
- ΔH_f (0 K) (kJ/mol of atoms) = -41.45
- total energy (eV per atom) = -5.173

=====

(6)
A plane-wave DFT calculation with PBE was carried out for a relaxed structure of Ho3Cd2Rh3.

a b c (Å): 5.7394 8.2566 8.2566
angles (deg): 120.00 90.00 90.00
Element x y z (fractional)
Ho1 0.7500 0.2760 0.0000
Ho2 0.7500 0.7240 0.7240
Ho3 0.7500 0.0000 0.2760
Ho4 0.2500 0.7240 0.0000
Ho5 0.2500 0.2760 0.2760
Ho6 0.2500 0.0000 0.7240
Cd1 0.0000 0.3333 0.6667
Cd2 0.5000 0.6667 0.3333
Cd3 0.0000 0.6667 0.3333
Cd4 0.5000 0.3333 0.6667
Rh1 0.7500 0.6183 0.0000
Rh2 0.7500 0.3817 0.3817
Rh3 0.7500 0.0000 0.6183
Rh4 0.2500 0.3817 0.0000
Rh5 0.2500 0.6183 0.6183
Rh6 0.2500 0.0000 0.3817

- space-group type = P6_3/mcm
- total magnetization (μB/f.u.) = 0.00
- ΔH_f (0 K) (kJ/mol of atoms) = -59.66
- total energy (eV per atom) = -5.321